Computed, not measured: crystalline ZnAgP3O9 at its relaxed geometry at the PBE level of DFT. Values from VASP.

```
&SYSTEM
  ibrav = 0, nat = 112, ntyp = 4
/
ATOMIC_SPECIES
Zn 65.41 Zn.upf
Ag 107.87 Ag.upf
P 30.97 P.upf
O 16.00 O.upf
ATOMIC_POSITIONS crystal
Zn 0.000 0.000 0.000
Zn 0.000 0.000 0.500
Zn 0.250 0.500 0.036
Zn 0.250 0.500 0.536
Zn 0.500 0.000 0.000
Zn 0.500 0.000 0.500
Zn 0.750 0.500 0.464
Zn 0.750 0.500 0.964
Ag 0.122 0.249 0.469
Ag 0.122 0.751 0.969
Ag 0.378 0.249 0.969
Ag 0.378 0.751 0.469
Ag 0.622 0.249 0.531
Ag 0.622 0.751 0.031
Ag 0.878 0.249 0.031
Ag 0.878 0.751 0.531
P 0.101 0.471 0.785
P 0.101 0.529 0.285
P 0.127 0.251 0.960
P 0.127 0.749 0.460
P 0.149 0.048 0.760
P 0.149 0.952 0.260
P 0.351 0.048 0.260
P 0.351 0.952 0.760
P 0.373 0.251 0.460
P 0.373 0.749 0.960
P 0.399 0.471 0.285
P 0.399 0.529 0.785
P 0.601 0.471 0.215
P 0.601 0.529 0.715
P 0.627 0.251 0.040
P 0.627 0.749 0.540
P 0.649 0.048 0.240
P 0.649 0.952 0.740
P 0.851 0.048 0.740
P 0.851 0.952 0.240
P 0.873 0.251 0.540
P 0.873 0.749 0.040
P 0.899 0.471 0.715
P 0.899 0.529 0.215
O 0.000 0.463 0.250
O 0.000 0.537 0.750
O 0.056 0.173 0.037
O 0.056 0.827 0.537
O 0.064 0.351 0.872
O 0.064 0.649 0.372
O 0.091 0.091 0.641
O 0.091 0.909 0.141
O 0.108 0.047 0.356
O 0.108 0.953 0.856
O 0.146 0.424 0.657
O 0.146 0.576 0.157
O 0.156 0.440 0.374
O 0.156 0.560 0.874
O 0.183 0.171 0.845
O 0.183 0.829 0.345
O 0.202 0.318 0.040
O 0.202 0.682 0.540
O 0.250 0.000 0.200
O 0.250 0.000 0.700
O 0.298 0.318 0.540
O 0.298 0.682 0.040
O 0.317 0.171 0.345
O 0.317 0.829 0.845
O 0.344 0.440 0.874
O 0.344 0.560 0.374
O 0.354 0.424 0.157
O 0.354 0.576 0.657
O 0.392 0.047 0.856
O 0.392 0.953 0.356
O 0.409 0.091 0.141
O 0.409 0.909 0.641
O 0.436 0.351 0.372
O 0.436 0.649 0.872
O 0.444 0.173 0.537
O 0.444 0.827 0.037
O 0.500 0.463 0.750
O 0.500 0.537 0.250
O 0.556 0.173 0.963
O 0.556 0.827 0.463
O 0.564 0.351 0.128
O 0.564 0.649 0.628
O 0.591 0.091 0.359
O 0.591 0.909 0.859
O 0.608 0.047 0.644
O 0.608 0.953 0.144
O 0.646 0.424 0.343
O 0.646 0.576 0.843
O 0.656 0.440 0.626
O 0.656 0.560 0.126
O 0.683 0.171 0.155
O 0.683 0.829 0.655
O 0.702 0.318 0.960
O 0.702 0.682 0.460
O 0.750 0.000 0.300
O 0.750 0.000 0.800
O 0.798 0.318 0.460
O 0.798 0.682 0.960
O 0.817 0.171 0.655
O 0.817 0.829 0.155
O 0.844 0.440 0.126
O 0.844 0.560 0.626
O 0.854 0.424 0.843
O 0.854 0.576 0.343
O 0.892 0.047 0.144
O 0.892 0.953 0.644
O 0.909 0.091 0.859
O 0.909 0.909 0.359
O 0.936 0.351 0.628
O 0.936 0.649 0.128
O 0.944 0.173 0.463
O 0.944 0.827 0.963
CELL_PARAMETERS angstrom
13.962 0.000 0.000
0.000 10.638 0.000
0.000 0.000 9.803
```

Output
**Space group**: No. 54
**Theoretical density**: 3.74 g/cm³

Computed, not measured: crystalline ZrAgPO at its relaxed geometry at the PBE level of DFT. Values from VASP.

```
&SYSTEM
  ibrav = 0, nat = 8, ntyp = 4
/
ATOMIC_SPECIES
Zr 91.22 Zr.upf
Ag 107.87 Ag.upf
P 30.97 P.upf
O 16.00 O.upf
ATOMIC_POSITIONS crystal
Zr 0.000 0.217 0.000
Zr 0.000 0.783 0.500
Ag 0.500 0.410 0.595
Ag 0.500 0.590 0.095
P 0.000 0.234 0.500
P 0.000 0.766 0.000
O 0.500 0.195 0.029
O 0.500 0.805 0.529
CELL_PARAMETERS angstrom
4.175 0.000 0.000
0.000 5.884 0.000
0.000 0.000 5.512
```

Output
**Relative energy among the computed polymorphs**: 221.4 meV per atom
**Space group**: No. 26
**Magnetic moment**: 0.003 μB per formula unit
**Theoretical density**: 6.04 g/cm³

Computed, not measured: crystalline ZrAgPO at its relaxed geometry at the PBE level of DFT. Values from VASP.

```
&SYSTEM
  ibrav = 0, nat = 8, ntyp = 4
/
ATOMIC_SPECIES
Zr 91.22 Zr.upf
Ag 107.87 Ag.upf
P 30.97 P.upf
O 16.00 O.upf
ATOMIC_POSITIONS crystal
Zr 0.000 0.115 0.000
Zr 0.000 0.885 0.500
Ag 0.500 0.321 0.480
Ag 0.500 0.679 0.980
P 0.500 0.312 0.847
P 0.500 0.688 0.347
O 0.000 0.136 0.308
O 0.000 0.864 0.808
CELL_PARAMETERS angstrom
3.908 0.000 0.000
0.000 6.318 0.000
0.000 0.000 6.568
```

Output
**Relative energy among the computed polymorphs**: 238.2 meV per atom
**Space group**: No. 26
**Magnetic moment**: 0.003 μB per formula unit
**Theoretical density**: 5.04 g/cm³

Computed, not measured: crystalline ZrAgPO at its relaxed geometry at the PBE level of DFT. Values from VASP.

```
&SYSTEM
  ibrav = 0, nat = 8, ntyp = 4
/
ATOMIC_SPECIES
Zr 91.22 Zr.upf
Ag 107.87 Ag.upf
P 30.97 P.upf
O 16.00 O.upf
ATOMIC_POSITIONS crystal
Zr 0.250 0.750 0.000
Zr 0.750 0.250 0.000
Ag 0.250 0.250 0.443
Ag 0.750 0.750 0.557
P 0.250 0.250 0.946
P 0.750 0.750 0.054
O 0.250 0.750 0.500
O 0.750 0.250 0.500
CELL_PARAMETERS angstrom
5.242 0.000 0.000
0.000 5.242 0.000
0.000 0.000 4.604
```

Output
**Relative energy among the computed polymorphs**: 387.1 meV per atom
**Space group**: No. 129
**Magnetic moment**: 0.002 μB per formula unit
**Theoretical density**: 6.46 g/cm³

Computed, not measured: crystalline ZrAgPO at its relaxed geometry at the PBE level of DFT. Values from VASP.

```
&SYSTEM
  ibrav = 0, nat = 8, ntyp = 4
/
ATOMIC_SPECIES
Zr 91.22 Zr.upf
Ag 107.87 Ag.upf
P 30.97 P.upf
O 16.00 O.upf
ATOMIC_POSITIONS crystal
Zr 0.250 0.250 0.141
Zr 0.750 0.750 0.859
Ag 0.250 0.750 0.500
Ag 0.750 0.250 0.500
P 0.250 0.250 0.721
P 0.750 0.750 0.279
O 0.250 0.750 0.000
O 0.750 0.250 0.000
CELL_PARAMETERS angstrom
3.704 0.000 0.000
0.000 3.704 0.000
0.000 0.000 8.788
```

Output
**Relative energy among the computed polymorphs**: 0.0 meV per atom
**Space group**: No. 129
**Magnetic moment**: 0.002 μB per formula unit
**Theoretical density**: 6.78 g/cm³

Computed, not measured: crystalline Pa2AgO4 at its relaxed geometry at the PBE level of DFT. Values from VASP.

```
&SYSTEM
  ibrav = 0, nat = 14, ntyp = 3
/
ATOMIC_SPECIES
Pa 231.04 Pa.upf
Ag 107.87 Ag.upf
O 16.00 O.upf
ATOMIC_POSITIONS crystal
Pa 0.000 0.000 0.000
Pa 0.000 0.000 0.500
Pa 0.000 0.500 0.000
Pa 0.500 0.000 0.000
Ag 0.375 0.375 0.375
Ag 0.625 0.625 0.625
O 0.166 0.778 0.778
O 0.222 0.222 0.222
O 0.222 0.222 0.834
O 0.222 0.834 0.222
O 0.778 0.166 0.778
O 0.778 0.778 0.166
O 0.778 0.778 0.778
O 0.834 0.222 0.222
CELL_PARAMETERS angstrom
0.000 5.159 5.159
5.159 0.000 5.159
5.159 5.159 0.000
```

Output
**Space group**: No. 227
**Magnetic moment**: 2.003 μB per formula unit
**Theoretical density**: 7.67 g/cm³

Computed, not measured: crystalline Ag2PbO3 at its relaxed geometry at the PBE level of DFT. Values from VASP.

```
&SYSTEM
  ibrav = 0, nat = 12, ntyp = 3
/
ATOMIC_SPECIES
Ag 107.87 Ag.upf
Pb 207.20 Pb.upf
O 16.00 O.upf
ATOMIC_POSITIONS crystal
Ag 0.084 0.916 0.750
Ag 0.241 0.759 0.250
Ag 0.759 0.241 0.750
Ag 0.916 0.084 0.250
Pb 0.412 0.588 0.750
Pb 0.588 0.412 0.250
O 0.000 0.500 0.500
O 0.216 0.354 0.975
O 0.354 0.216 0.475
O 0.500 0.000 0.000
O 0.646 0.784 0.525
O 0.784 0.646 0.025
CELL_PARAMETERS angstrom
3.133 -5.005 0.000
3.133 5.005 0.000
-2.411 0.000 5.404
```

Output
**Space group**: No. 15
**Theoretical density**: 9.23 g/cm³

Computed, not measured: crystalline AgPb2O4 at its relaxed geometry at the PBE level of DFT. Values from VASP.

```
&SYSTEM
  ibrav = 0, nat = 14, ntyp = 3
/
ATOMIC_SPECIES
Ag 107.87 Ag.upf
Pb 207.20 Pb.upf
O 16.00 O.upf
ATOMIC_POSITIONS crystal
Ag 0.125 0.125 0.125
Ag 0.875 0.875 0.875
Pb 0.000 0.500 0.500
Pb 0.500 0.000 0.500
Pb 0.500 0.500 0.000
Pb 0.500 0.500 0.500
O 0.266 0.266 0.266
O 0.266 0.266 0.702
O 0.266 0.702 0.266
O 0.298 0.734 0.734
O 0.702 0.266 0.266
O 0.734 0.298 0.734
O 0.734 0.734 0.298
O 0.734 0.734 0.734
CELL_PARAMETERS angstrom
0.000 4.860 4.860
4.860 0.000 4.860
4.860 4.860 0.000
```

Output
**Space group**: No. 227
**Theoretical density**: 8.48 g/cm³

Computed, not measured: crystalline Ag3Pd4PbO12 at its relaxed geometry at the PBE level of DFT. Values from VASP.

```
&SYSTEM
  ibrav = 0, nat = 20, ntyp = 4
/
ATOMIC_SPECIES
Ag 107.87 Ag.upf
Pd 106.42 Pd.upf
Pb 207.20 Pb.upf
O 16.00 O.upf
ATOMIC_POSITIONS crystal
Ag 0.000 0.500 0.500
Ag 0.500 0.000 0.500
Ag 0.500 0.500 0.000
Pd 0.000 0.000 0.500
Pd 0.000 0.500 0.000
Pd 0.500 0.000 0.000
Pd 0.500 0.500 0.500
Pb 0.000 0.000 0.000
O 0.124 0.302 0.822
O 0.178 0.481 0.302
O 0.178 0.876 0.698
O 0.302 0.178 0.481
O 0.302 0.822 0.124
O 0.481 0.302 0.178
O 0.519 0.698 0.822
O 0.698 0.178 0.876
O 0.698 0.822 0.519
O 0.822 0.124 0.302
O 0.822 0.519 0.698
O 0.876 0.698 0.178
CELL_PARAMETERS angstrom
-3.873 3.873 3.873
3.873 -3.873 3.873
3.873 3.873 -3.873
```

Output
**Space group**: No. 204
**Theoretical density**: 8.21 g/cm³

Computed, not measured: crystalline PrAgPbO3 at its relaxed geometry at the PBE level of DFT. Values from VASP.

```
&SYSTEM
  ibrav = 0, nat = 12, ntyp = 4
/
ATOMIC_SPECIES
Pr 140.91 Pr.upf
Ag 107.87 Ag.upf
Pb 207.20 Pb.upf
O 16.00 O.upf
ATOMIC_POSITIONS crystal
Pr 0.000 0.000 0.000
Pr 0.000 0.000 0.500
Ag 0.364 0.636 0.750
Ag 0.636 0.364 0.250
Pb 0.320 0.680 0.250
Pb 0.680 0.320 0.750
O 0.074 0.926 0.750
O 0.385 0.615 0.514
O 0.385 0.615 0.986
O 0.615 0.385 0.014
O 0.615 0.385 0.486
O 0.926 0.074 0.250
CELL_PARAMETERS angstrom
1.886 -6.554 0.000
1.886 6.554 0.000
0.000 0.000 8.752
```

Output
**Space group**: No. 63
**Magnetic moment**: 0.001 μB per formula unit
**Theoretical density**: 7.73 g/cm³

Computed, not measured: crystalline RbAg3PbO4 at its relaxed geometry at the PBE level of DFT. Values from VASP.

```
&SYSTEM
  ibrav = 0, nat = 9, ntyp = 4
/
ATOMIC_SPECIES
Rb 85.47 Rb.upf
Ag 107.87 Ag.upf
Pb 207.20 Pb.upf
O 16.00 O.upf
ATOMIC_POSITIONS crystal
Rb 0.000 0.000 0.000
Ag 0.000 0.500 0.500
Ag 0.500 0.000 0.500
Ag 0.500 0.500 0.000
Pb 0.500 0.500 0.500
O 0.289 0.289 0.289
O 0.289 0.711 0.711
O 0.711 0.289 0.711
O 0.711 0.711 0.289
CELL_PARAMETERS angstrom
5.823 0.000 0.000
0.000 5.823 0.000
0.000 0.000 5.823
```

Output
**Space group**: No. 215
**Theoretical density**: 5.72 g/cm³

Computed, not measured: crystalline Re4Ag3PbO12 at its relaxed geometry at the PBE level of DFT. Values from VASP.

```
&SYSTEM
  ibrav = 0, nat = 20, ntyp = 4
/
ATOMIC_SPECIES
Re 186.21 Re.upf
Ag 107.87 Ag.upf
Pb 207.20 Pb.upf
O 16.00 O.upf
ATOMIC_POSITIONS crystal
Re 0.000 0.000 0.500
Re 0.000 0.500 0.000
Re 0.500 0.000 0.000
Re 0.500 0.500 0.500
Ag 0.000 0.500 0.500
Ag 0.500 0.000 0.500
Ag 0.500 0.500 0.000
Pb 0.000 0.000 0.000
O 0.043 0.269 0.774
O 0.226 0.495 0.269
O 0.226 0.957 0.731
O 0.269 0.226 0.495
O 0.269 0.774 0.043
O 0.495 0.269 0.226
O 0.505 0.731 0.774
O 0.731 0.226 0.957
O 0.731 0.774 0.505
O 0.774 0.043 0.269
O 0.774 0.505 0.731
O 0.957 0.731 0.226
CELL_PARAMETERS angstrom
-3.895 3.895 3.895
3.895 -3.895 3.895
3.895 3.895 -3.895
```

Output
**Space group**: No. 204
**Magnetic moment**: 0.006 μB per formula unit
**Theoretical density**: 10.31 g/cm³

Computed, not measured: crystalline AgSbPb2O6 at its relaxed geometry at the PBE level of DFT. Values from VASP.

```
&SYSTEM
  ibrav = 0, nat = 20, ntyp = 4
/
ATOMIC_SPECIES
Ag 107.87 Ag.upf
Sb 121.76 Sb.upf
Pb 207.20 Pb.upf
O 16.00 O.upf
ATOMIC_POSITIONS crystal
Ag 0.247 0.753 0.750
Ag 0.753 0.247 0.250
Sb 0.000 0.500 0.000
Sb 0.500 0.000 0.500
Pb 0.143 0.589 0.379
Pb 0.411 0.857 0.121
Pb 0.589 0.143 0.879
Pb 0.857 0.411 0.621
O 0.110 0.241 0.825
O 0.157 0.704 0.949
O 0.241 0.110 0.325
O 0.256 0.368 0.591
O 0.296 0.843 0.551
O 0.368 0.256 0.091
O 0.632 0.744 0.909
O 0.704 0.157 0.449
O 0.744 0.632 0.409
O 0.759 0.890 0.675
O 0.843 0.296 0.051
O 0.890 0.759 0.175
CELL_PARAMETERS angstrom
5.016 -2.884 0.000
5.016 2.884 0.000
-2.852 0.000 9.723
```

Output
**Space group**: No. 15
**Theoretical density**: 8.74 g/cm³

Computed, not measured: crystalline TaAgPb2O6 at its relaxed geometry at the PBE level of DFT. Values from VASP.

```
&SYSTEM
  ibrav = 0, nat = 10, ntyp = 4
/
ATOMIC_SPECIES
Ta 180.95 Ta.upf
Ag 107.87 Ag.upf
Pb 207.20 Pb.upf
O 16.00 O.upf
ATOMIC_POSITIONS crystal
Ta 0.000 0.000 0.000
Ag 0.500 0.500 0.500
Pb 0.251 0.251 0.772
Pb 0.749 0.749 0.228
O 0.182 0.703 0.168
O 0.244 0.244 0.339
O 0.297 0.818 0.832
O 0.703 0.182 0.168
O 0.756 0.756 0.661
O 0.818 0.297 0.832
CELL_PARAMETERS angstrom
4.901 -2.912 0.000
4.901 2.912 0.000
-3.637 0.000 4.827
```

Output
**Space group**: No. 12
**Magnetic moment**: 0.000 μB per formula unit
**Theoretical density**: 9.63 g/cm³

Computed, not measured: crystalline TbAgPbO3 at its relaxed geometry at the PBE level of DFT. Values from VASP.

```
&SYSTEM
  ibrav = 0, nat = 12, ntyp = 4
/
ATOMIC_SPECIES
Tb 158.93 Tb.upf
Ag 107.87 Ag.upf
Pb 207.20 Pb.upf
O 16.00 O.upf
ATOMIC_POSITIONS crystal
Tb 0.000 0.000 0.000
Tb 0.000 0.000 0.500
Ag 0.399 0.601 0.750
Ag 0.601 0.399 0.250
Pb 0.317 0.683 0.250
Pb 0.683 0.317 0.750
O 0.124 0.876 0.573
O 0.124 0.876 0.927
O 0.270 0.730 0.750
O 0.730 0.270 0.250
O 0.876 0.124 0.073
O 0.876 0.124 0.427
CELL_PARAMETERS angstrom
1.611 -8.384 0.000
1.611 8.384 0.000
0.000 0.000 7.636
```

Output
**Space group**: No. 63
**Magnetic moment**: 0.002 μB per formula unit
**Theoretical density**: 8.40 g/cm³

Computed, not measured: crystalline AgTePbO at its relaxed geometry at the PBE level of DFT. Values from VASP.

```
&SYSTEM
  ibrav = 0, nat = 8, ntyp = 4
/
ATOMIC_SPECIES
Ag 107.87 Ag.upf
Te 127.60 Te.upf
Pb 207.20 Pb.upf
O 16.00 O.upf
ATOMIC_POSITIONS crystal
Ag 0.250 0.250 0.250
Ag 0.750 0.750 0.750
Te 0.250 0.250 0.691
Te 0.750 0.750 0.309
Pb 0.250 0.750 0.000
Pb 0.750 0.250 0.000
O 0.250 0.250 0.488
O 0.750 0.750 0.512
CELL_PARAMETERS angstrom
4.505 0.000 0.000
0.000 4.505 0.000
0.000 0.000 9.185
```

Output
**Relative energy among the computed polymorphs**: 473.9 meV per atom
**Space group**: No. 129
**Theoretical density**: 8.17 g/cm³

Number 1: total energy -6.481 eV/atom. Number 2: total energy -6.580 eV/atom. Number 3: total energy -6.563 eV/atom. Number 4: total energy -6.415 eV/atom. Number 5: total energy -6.802 eV/atom. Number 6: total energy -7.929 eV/atom. Number 7: total energy -4.436 eV/atom. Number 8: total energy -4.976 eV/atom. Number 9: total energy -4.913 eV/atom. Number 10: total energy -6.060 eV/atom. Number 11: total energy -3.999 eV/atom. Number 12: total energy -7.074 eV/atom. Number 13: total energy -5.313 eV/atom. Number 14: total energy -6.557 eV/atom. Number 15: total energy -5.228 eV/atom. Number 16: total energy -3.692 eV/atom.